P:
DFT (PBE-GGA) results for crystalline GeBPd2 at its relaxed geometry.

abc: 5.2244 5.2244 10.2449
angles: 90.00 90.00 90.00
Space group I-42d (No. 122)
One atom of each set of equivalent atoms:
Ge (0.0000, 0.0000, 0.0000) x4
B (0.0000, 0.0000, 0.5000) x4
Pd (0.1759, 0.2500, 0.6250) x8


Q:
DFT (PBE-GGA) results for crystalline GeBPd2 at its relaxed geometry.

abc: 5.9755 5.9755 5.9755
angles: 90.00 90.00 90.00
Space group Fm-3m (No. 225)
One atom of each set of equivalent atoms:
Ge (0.0000, 0.0000, 0.0000) x4
B (0.0000, 0.0000, 0.5000) x4
Pd (0.2500, 0.2500, 0.2500) x8


What should be chosen as the most stable of them? Choose P.


P:
DFT (PBE-GGA) results for crystalline Ge3BPd at its relaxed geometry.

abc: 4.3381 4.3381 4.3381
angles: 90.00 90.00 90.00
Space group Pm-3m (No. 221)
One atom of each set of equivalent atoms:
Ge (0.0000, 0.0000, 0.5000) x3
B (0.0000, 0.0000, 0.0000) x1
Pd (0.5000, 0.5000, 0.5000) x1


Q:
DFT (PBE-GGA) results for crystalline Ge3BPd at its relaxed geometry.

abc: 4.8203 4.8203 4.8203
angles: 90.00 90.00 90.00
Space group Pm-3m (No. 221)
One atom of each set of equivalent atoms:
Ge (0.0000, 0.0000, 0.5000) x3
B (0.5000, 0.5000, 0.5000) x1
Pd (0.0000, 0.0000, 0.0000) x1


What should be chosen as the most stable of them? Choose P.


P:
DFT (PBE-GGA) results for crystalline GeB3Pd at its relaxed geometry.

abc: 4.0973 4.0973 4.0973
angles: 90.00 90.00 90.00
Space group Pm-3m (No. 221)
One atom of each set of equivalent atoms:
Ge (0.0000, 0.0000, 0.0000) x1
B (0.0000, 0.0000, 0.5000) x3
Pd (0.5000, 0.5000, 0.5000) x1


Q:
DFT (PBE-GGA) results for crystalline GeB3Pd at its relaxed geometry.

abc: 4.1228 4.1228 4.1228
angles: 90.00 90.00 90.00
Space group Pm-3m (No. 221)
One atom of each set of equivalent atoms:
Ge (0.0000, 0.0000, 0.0000) x1
B (0.0000, 0.5000, 0.5000) x3
Pd (0.5000, 0.5000, 0.5000) x1


What should be chosen as the most stable of them? Choose Q.


P:
DFT (PBE-GGA) results for crystalline Pm2GeB at its relaxed geometry.

abc: 4.3260 4.3260 17.6480
angles: 90.00 90.00 120.00
Space group R-3m (No. 166, hexagonal axes)
One atom of each set of equivalent atoms:
Pm (0.0000, 0.0000, 0.2386) x6
Ge (0.0000, 0.0000, 0.0000) x3
B (0.0000, 0.0000, 0.5000) x3


Q:
DFT (PBE-GGA) results for crystalline Pm2GeB at its relaxed geometry.

abc: 4.7954 4.7954 3.7675
angles: 90.00 90.00 90.00
Space group P4/mmm (No. 123)
One atom of each set of equivalent atoms:
Pm (0.0000, 0.5000, 0.0000) x2
Ge (0.0000, 0.0000, 0.5000) x1
B (0.5000, 0.5000, 0.5000) x1


What should be chosen as the most stable of them? Choose P.


P:
DFT (PBE-GGA) results for crystalline PmGeB at its relaxed geometry.

abc: 7.8596 3.2272 8.9190
angles: 90.00 98.41 90.00
Space group C2/m (No. 12)
One atom of each set of equivalent atoms:
Pm (0.0336, 0.0000, 0.1994) x4
Ge (0.1497, 0.5000, 0.5624) x4
B (0.2247, 0.5000, 0.0000) x4


Q:
DFT (PBE-GGA) results for crystalline PmGeB at its relaxed geometry.

abc: 5.2366 5.2366 8.2235
angles: 90.00 90.00 120.00
Space group P3_212 (No. 153)
One atom of each set of equivalent atoms:
Pm (0.1866, 0.3731, 0.3333) x3
Ge (0.3126, 0.1563, 0.0000) x3
B (0.1745, 0.3490, 0.8333) x3


R:
DFT (PBE-GGA) results for crystalline PmGeB at its relaxed geometry.

abc: 3.6770 3.6770 4.3429
angles: 90.00 90.00 120.00
Space group P3m1 (No. 156)
One atom of each set of equivalent atoms:
Pm (0.0000, 0.0000, 0.0000) x1
Ge (0.6667, 0.3333, 0.5005) x1
B (0.3333, 0.6667, 0.4983) x1


What should be chosen as the most stable of them? Choose R.


P:
DFT (PBE-GGA) results for crystalline GeBPt2 at its relaxed geometry.

abc: 6.0280 6.0280 6.0280
angles: 90.00 90.00 90.00
Space group Fm-3m (No. 225)
One atom of each set of equivalent atoms:
Ge (0.0000, 0.0000, 0.0000) x4
B (0.0000, 0.0000, 0.5000) x4
Pt (0.2500, 0.2500, 0.2500) x8


Q:
DFT (PBE-GGA) results for crystalline GeBPt2 at its relaxed geometry.

abc: 2.9922 2.9922 23.6314
angles: 90.00 90.00 120.00
Space group R-3m (No. 166, hexagonal axes)
One atom of each set of equivalent atoms:
Ge (0.0000, 0.0000, 0.0000) x3
B (0.0000, 0.0000, 0.5000) x3
Pt (0.0000, 0.0000, 0.1103) x6


R:
DFT (PBE-GGA) results for crystalline GeBPt2 at its relaxed geometry.

abc: 5.1707 5.1707 10.4499
angles: 90.00 90.00 90.00
Space group I-42d (No. 122)
One atom of each set of equivalent atoms:
Ge (0.0000, 0.0000, 0.0000) x4
B (0.0000, 0.0000, 0.5000) x4
Pt (0.1834, 0.2500, 0.6250) x8


What should be chosen as the most stable of them? Choose R.